Record 1
VASP calculation (PBE) on a geometry-optimized LaHfCd structure.

Lattice parameters (Å, degrees): 5.0906 5.0906 5.0906 60.00 60.00 60.00
Element x y z (fractional)
Cd1 0.2500 0.2500 0.2500
Hf1 0.7500 0.7500 0.7500
La1 0.0000 0.0000 0.0000

## Properties
The value obtained for the total energy is -4.34 eV per atom. The formation energy comes out at 0.922 eV per atom. The calculated volume is 31.1 Å³ per atom.

***

Record 2
VASP calculation (PBE) on a geometry-optimized ThBePd structure.

Lattice parameters (Å, degrees): 4.4407 4.4407 4.4407 60.00 60.00 60.00
Element x y z (fractional)
Be1 0.0000 0.0000 0.0000
Pd1 0.2500 0.2500 0.2500
Th1 0.7500 0.7500 0.7500

## Properties
The value obtained for the total energy is -5.52 eV per atom. The calculated volume is 20.6 Å³ per atom.

***

Record 3
VASP calculation (PBE) on a geometry-optimized BaZn2SbAs structure.

Lattice parameters (Å, degrees): 4.9332 4.9332 10.2456 90.00 90.00 90.00
Element x y z (fractional)
Ba1 0.0000 0.5000 0.2641
Sb1 0.5000 0.0000 0.1324
As1 0.0000 0.0000 0.5000
As2 0.5000 0.5000 0.5000
Zn1 0.5000 0.0000 0.4030
Zn2 0.5000 0.5000 0.0000
Zn3 0.0000 0.5000 0.5970
Zn4 0.0000 0.0000 0.0000
Ba2 0.5000 0.0000 0.7359
Sb2 0.0000 0.5000 0.8676

## Properties
The value obtained for the total energy is -3.16 eV per atom. The calculated volume is 24.9 Å³ per atom.